Entry from Alexandria via LeMat-Bulk: a relaxed structure of Zr10Bi3Sb3 (PBE-GGA).

Geometry as CIF:
```
data_Zr10Bi3Sb3
_cell_length_a 8.6225
_cell_length_b 8.6225
_cell_length_c 5.8313
_cell_angle_alpha 90.00
_cell_angle_beta 90.00
_cell_angle_gamma 120.00
_space_group_name_H-M_alt 'P -6 2 m'
_space_group_IT_number 189
_space_group_name_Hall 'P -6 -2'
loop_
_atom_site_label
_atom_site_type_symbol
_atom_site_fract_x
_atom_site_fract_y
_atom_site_fract_z
Zr1 Zr 0.0000 0.2155 0.0000
Zr2 Zr 0.0000 0.7325 0.5000
Zr3 Zr 0.3333 0.6667 0.2569
Bi1 Bi 0.0000 0.5982 0.0000
Sb1 Sb 0.0000 0.3767 0.5000
```

- energy relative to the elements, uncorrected (eV/atom) = -0.485
- total magnetic moment (μB/atom) = 0.0000
- crystal system = hexagonal
- uncorrected energy (eV/atom) = -7.328